--- P ---
This record from Alexandria describes a relaxed structure of Bi2AuBr. The functional is GGA-PBE.

a = 7.5288 Å, b = 7.5288 Å, c = 7.5288 Å
α = 34.95°, β = 34.95°, γ = 34.95°
Last column: nearest neighbours and their distance in Å.
Fractional positions:
Bi 0.2245 0.2245 0.2245  3 Au 2.88
Bi 0.7755 0.7755 0.7755  3 Au 2.88
Au 0.5000 0.5000 0.5000  6 Bi 2.88
Br 0.0000 0.0000 0.0000  6 Bi 3.48

## Properties
Volume in Å³/atom: 31.3
Space-group type: R-3m (166)

***

--- Q ---
This record from Alexandria describes a relaxed structure of Bi2AuBr. The functional is GGA-PBE.

a = 5.2768 Å, b = 5.2768 Å, c = 5.2768 Å
α = 60.00°, β = 60.00°, γ = 60.00°
Last column: nearest neighbours and their distance in Å.
Fractional positions:
Bi 0.2500 0.2500 0.2500  4 Br 3.23, 4 Au 3.23
Bi 0.7500 0.7500 0.7500  4 Br 3.23, 4 Au 3.23
Au 0.0000 0.0000 0.0000  8 Bi 3.23
Br 0.5000 0.5000 0.5000  8 Bi 3.23

## Properties
Volume in Å³/atom: 26.0
Space-group type: Fm-3m (225)

***

Looking at the structures above, P is most stable, and the difference to the next one is 0.306 eV/atom.